A plane-wave DFT calculation with PBE was carried out for a relaxed EuSCl crystal.

- Formation energy without anion corrections: -1.64 eV/atom
- Magnetic moment: 6.000 μB/f.u.
- Distance to the lowest polymorph of the same formula: 0 meV/atom
- Fermi-level density of states: 4.67 states/eV/f.u.
- Uncorrected energy: -0.5190 Ry per atom

Lattice parameters (Å, degrees): 4.2271 4.2271 6.2414 90.00 90.00 120.00
Space group P3m1 (No. 156)
Symmetry-distinct sites (fractional):
Eu: 0.0000 0.0000 0.0000 x1
S: 0.6667 0.3333 0.2104 x1
Cl: 0.3333 0.6667 0.7590 x1